A plane-wave DFT calculation with GGA-PBE was carried out for a relaxed structure of NdCd11Ag.

Unit cell a=5.9080 b=7.6397 c=7.6451 alpha=81.45 beta=67.27 gamma=67.37
Fractional coordinates of all 13 atoms:
Cd (0.0082, 0.6465, 0.3479)
Ag (0.5000, 0.5000, 0.0000)
Cd (0.3561, 0.6465, 0.6521)
Cd (0.4959, 0.7846, 0.2118)
Cd (0.0000, 0.0000, 0.5000)
Cd (0.5041, 0.2154, 0.7882)
Nd (0.0000, 0.0000, 0.0000)
Cd (0.7077, 0.7846, 0.7882)
Cd (0.5000, 0.0000, 0.5000)
Cd (0.0000, 0.5000, 0.0000)
Cd (0.9918, 0.3535, 0.6521)
Cd (0.2923, 0.2154, 0.2118)
Cd (0.6439, 0.3535, 0.3479)

Summary:
calculated total energy	-1.49	eV/atom
DFT formation energy	-0.13	eV/atom
space-group type	C2/m (12)